Entry 1:
Below is a relaxed structure of CoRuPt2, with properties calculated at the PBE level.

```
CoRuPt2
1.0
2.721 0.000 0.000
0.000 3.772 0.000
0.000 0.000 5.514
Co Ru Pt
1 1 2
direct
0.000 0.000 0.000
0.500 0.500 0.771
0.000 0.000 0.522
0.500 0.500 0.246
```

Values from the calculation:
magnetic moment = 1.820 μB/f.u.
ΔE_f = 4 kJ/mol of atoms
theoretical density = 16.14 g cm⁻³
final energy = -28.32 eV/cell

---

Entry 2:
Below is a relaxed structure of NdUS2N, with properties calculated at the PBE level.

```
NdUS2N
1.0
3.872 0.000 0.000
0.000 3.872 0.000
0.000 0.000 14.269
Nd U S N
2 2 4 2
direct
0.250 0.250 0.126
0.750 0.750 0.874
0.250 0.250 0.582
0.750 0.750 0.418
0.250 0.250 0.317
0.250 0.250 0.911
0.750 0.750 0.089
0.750 0.750 0.683
0.250 0.750 0.500
0.750 0.250 0.500
```

Values from the calculation:
magnetic moment = 1.700 μB/f.u.
theoretical density = 7.15 g cm⁻³
raw formation energy = -1716.2 meV/atom
final energy = -82.43 eV/cell

---

Entry 3:
Below is a relaxed structure of InFeCl3, with properties calculated at the PBE level.

```
InFeCl3
1.0
4.938 0.000 0.000
0.000 4.938 0.000
0.000 0.000 4.938
In Fe Cl
1 1 3
direct
0.000 0.000 0.000
0.500 0.500 0.500
0.000 0.500 0.500
0.500 0.000 0.500
0.500 0.500 0.000
```

Values from the calculation:
magnetic moment = 4.000 μB/f.u.
theoretical density = 3.82 g cm⁻³
raw formation energy = -686.9 meV/atom
final energy = -20.18 eV/cell

---

Entry 4:
Below is a relaxed structure of NpCd2Sb2, with properties calculated at the PBE level.

```
NpCd2Sb2
1.0
2.194 -12.867 0.000
2.194 12.867 0.000
0.000 0.000 4.379
Np Cd Sb
2 4 4
direct
0.155 0.845 0.750
0.845 0.155 0.250
0.042 0.958 0.250
0.455 0.545 0.250
0.545 0.455 0.750
0.958 0.042 0.750
0.250 0.750 0.250
0.366 0.634 0.750
0.634 0.366 0.250
0.750 0.250 0.750
```

Values from the calculation:
magnetic moment = 4.025 μB/f.u.
theoretical density = 9.48 g cm⁻³
raw formation energy = -137.9 meV/atom
final energy = -47.41 eV/cell